1.
Material: Sc2InCu
Method: DFT, PBE
State: optimized geometry

a b c (Å): 4.892 4.892 5.722
angles (deg): 104.04 104.04 40.69
Element x y z (fractional)
Sc (0.235, 0.235, 0.229)
Sc (0.765, 0.765, 0.771)
In (0.000, 0.000, 0.500)
Cu (0.500, 0.500, 0.000)

Properties
Total magnetic moment in μB/atom: 0.000
E_tot in eV per atom: -4.984

***

2.
Material: TbHoInPb
Method: DFT, PBE
State: optimized geometry

a b c (Å): 5.389 5.389 5.389
angles (deg): 60.00 60.00 60.00
Element x y z (fractional)
Tb (0.000, 0.000, 0.000)
Ho (0.500, 0.500, 0.500)
In (0.250, 0.250, 0.250)
Pb (0.750, 0.750, 0.750)

Properties
Total magnetic moment in μB/atom: 0.000
Energy relative to the lowest polymorph listed for this composition in meV/atom: 43

***

3.
Material: Tb4Y9Hg11
Method: DFT, PBE
State: optimized geometry

a b c (Å): 13.741 13.741 3.567
angles (deg): 90.00 90.00 109.81
Element x y z (fractional)
Tb (0.075, 0.248, 0.000)
Tb (0.248, 0.075, 0.000)
Tb (0.752, 0.925, 0.000)
Tb (0.925, 0.752, 0.000)
Y (0.000, 0.000, 0.000)
Y (0.121, 0.648, 0.000)
Y (0.296, 0.476, 0.000)
Y (0.352, 0.879, 0.000)
Y (0.476, 0.296, 0.000)
Y (0.524, 0.704, 0.000)
Y (0.648, 0.121, 0.000)
Y (0.704, 0.524, 0.000)
Y (0.879, 0.352, 0.000)
Hg (0.088, 0.445, 0.500)
Hg (0.130, 0.870, 0.500)
Hg (0.276, 0.276, 0.500)
Hg (0.323, 0.677, 0.500)
Hg (0.445, 0.088, 0.500)
Hg (0.500, 0.500, 0.500)
Hg (0.555, 0.912, 0.500)
Hg (0.677, 0.323, 0.500)
Hg (0.724, 0.724, 0.500)
Hg (0.870, 0.130, 0.500)
Hg (0.912, 0.555, 0.500)

Properties
Total magnetic moment in μB/atom: 0.079
E_tot in eV per atom: -3.726

***

4.
Material: HfBiNO2
Method: DFT, PBE
State: optimized geometry

a b c (Å): 4.047 4.047 4.392
angles (deg): 90.00 90.00 90.00
Element x y z (fractional)
Hf (0.000, 0.000, 0.000)
Bi (0.500, 0.500, 0.500)
N (0.000, 0.000, 0.500)
O (0.000, 0.500, 0.000)
O (0.500, 0.000, 0.000)

Properties
Total magnetic moment in μB/atom: 0.000
Formation energy without anion corrections in eV/atom: -1.503

***

5.
Material: CaLa2V
Method: DFT, PBE
State: optimized geometry

a b c (Å): 5.613 5.613 5.613
angles (deg): 60.00 60.00 60.00
Element x y z (fractional)
Ca (0.000, 0.000, 0.000)
La (0.250, 0.250, 0.250)
La (0.750, 0.750, 0.750)
V (0.500, 0.500, 0.500)

Properties
Total magnetic moment in μB/atom: 0.749
Energy relative to the lowest polymorph listed for this composition in meV/atom: 0